No. 1
DFT (PBE-GGA) results for a relaxed structure of KAl2CdAu4.

Values from the calculation:
The theoretical density is 9.0 g/cm³. The value obtained for the raw total energy is -74.0 eV for the cell shown. Its energy relative to the elements is -2.05 eV/f.u.

abc: 4.4465 4.4465 32.2408
angles: 90.00 90.00 120.00
Space group R-3m (No. 166, hexagonal axes)
One atom of each set of equivalent atoms:
K1 0.0000 0.0000 0.0000 [3 per cell]
Al1 0.0000 0.0000 0.2407 [6 per cell]
Cd1 0.0000 0.0000 0.5000 [3 per cell]
Au1 0.0000 0.0000 0.1178 [6 per cell]
Au2 0.0000 0.0000 0.4087 [6 per cell]

=====

No. 2
DFT (PBE-GGA) results for a relaxed structure of K2AlCd6Au.

Values from the calculation:
The theoretical density is 5.4 g/cm³. The value obtained for the raw total energy is -15.3 eV for the cell shown. Its energy relative to the elements is -0.58 eV/f.u.

abc: 7.3985 7.4049 7.6215
angles: 60.96 61.18 60.13
Space group P-1 (No. 2)
One atom of each set of equivalent atoms:
K1 0.2034 0.2037 0.3888 [2 per cell]
Al1 0.0000 0.0000 0.0000 [1 per cell]
Cd1 0.2403 0.2577 0.8418 [2 per cell]
Cd2 0.2561 0.6611 0.8414 [2 per cell]
Cd3 0.3432 0.7602 0.1544 [2 per cell]
Au1 0.5000 0.5000 0.5000 [1 per cell]

=====

No. 3
DFT (PBE-GGA) results for a relaxed structure of KAl2Cd2Au6.

Values from the calculation:
The theoretical density is 6.5 g/cm³. The value obtained for the raw total energy is -31.2 eV for the cell shown. Its energy relative to the elements is -1.16 eV/f.u.

abc: 7.0941 7.5223 8.6458
angles: 113.57 110.55 94.67
Space group P-1 (No. 2)
One atom of each set of equivalent atoms:
K1 0.0000 0.0000 0.0000 [1 per cell]
Al1 0.3102 0.9672 0.5290 [2 per cell]
Cd1 0.1995 0.5368 0.4922 [2 per cell]
Au1 0.0333 0.1649 0.4627 [2 per cell]
Au2 0.3857 0.9331 0.8205 [2 per cell]
Au3 0.4462 0.2644 0.4933 [2 per cell]

=====

No. 4
DFT (PBE-GGA) results for a relaxed structure of LaAl2CdAu4.

Values from the calculation:
The theoretical density is 10.8 g/cm³. The value obtained for the raw total energy is -91.2 eV for the cell shown. Its energy relative to the elements is -3.97 eV/f.u.

abc: 4.4303 4.4303 29.6264
angles: 90.00 90.00 120.00
Space group R-3m (No. 166, hexagonal axes)
One atom of each set of equivalent atoms:
La1 0.0000 0.0000 0.0000 [3 per cell]
Al1 0.0000 0.0000 0.2437 [6 per cell]
Cd1 0.0000 0.0000 0.5000 [3 per cell]
Au1 0.0000 0.0000 0.1188 [6 per cell]
Au2 0.0000 0.0000 0.3967 [6 per cell]

=====

No. 5
DFT (PBE-GGA) results for a relaxed structure of LaAlCdAu.

Values from the calculation:
The theoretical density is 8.5 g/cm³. The value obtained for the raw total energy is -58.6 eV for the cell shown. Its energy relative to the elements is -1.80 eV/f.u.

abc: 7.1864 7.1864 7.1864
angles: 90.00 90.00 90.00
Space group F-43m (No. 216)
One atom of each set of equivalent atoms:
La1 0.0000 0.0000 0.0000 [4 per cell]
Al1 0.0000 0.0000 0.5000 [4 per cell]
Cd1 0.2500 0.2500 0.2500 [4 per cell]
Au1 0.2500 0.2500 0.7500 [4 per cell]

=====

No. 6
DFT (PBE-GGA) results for a relaxed structure of LaAlCd2Au4.

Values from the calculation:
The theoretical density is 11.5 g/cm³. The value obtained for the raw total energy is -81.4 eV for the cell shown. Its energy relative to the elements is -3.51 eV/f.u.

abc: 4.7032 4.7032 26.5567
angles: 90.00 90.00 120.00
Space group R-3m (No. 166, hexagonal axes)
One atom of each set of equivalent atoms:
La1 0.0000 0.0000 0.0000 [3 per cell]
Al1 0.0000 0.0000 0.5000 [3 per cell]
Cd1 0.0000 0.0000 0.2458 [6 per cell]
Au1 0.0000 0.0000 0.1352 [6 per cell]
Au2 0.0000 0.0000 0.3963 [6 per cell]

=====

No. 7
DFT (PBE-GGA) results for a relaxed structure of LaAl2CdAu2.

Values from the calculation:
The theoretical density is 9.0 g/cm³. The value obtained for the raw total energy is -23.2 eV for the cell shown. Its energy relative to the elements is -3.34 eV/f.u.

abc: 4.5026 4.5026 7.3576
angles: 90.00 90.00 120.00
Space group P-3m1 (No. 164)
One atom of each set of equivalent atoms:
La1 0.0000 0.0000 0.0000 [1 per cell]
Al1 0.3333 0.6667 0.2976 [2 per cell]
Cd1 0.0000 0.0000 0.5000 [1 per cell]
Au1 0.3333 0.6667 0.7139 [2 per cell]

=====

No. 8
DFT (PBE-GGA) results for a relaxed structure of LaAl2CdAu5.

Values from the calculation:
The theoretical density is 11.1 g/cm³. The value obtained for the raw total energy is -33.2 eV for the cell shown. Its energy relative to the elements is -3.50 eV/f.u.

abc: 4.9660 4.9660 7.8132
angles: 90.00 90.00 90.00
Space group P4/mmm (No. 123)
One atom of each set of equivalent atoms:
La1 0.0000 0.0000 0.0000 [1 per cell]
Al1 0.5000 0.5000 0.3356 [2 per cell]
Cd1 0.0000 0.0000 0.5000 [1 per cell]
Au1 0.0000 0.5000 0.2519 [4 per cell]
Au2 0.5000 0.5000 0.0000 [1 per cell]

=====

No. 9
DFT (PBE-GGA) results for a relaxed structure of LaAlCdAu2.

Values from the calculation:
The theoretical density is 9.1 g/cm³. The value obtained for the raw total energy is -17.5 eV for the cell shown. Its energy relative to the elements is -1.40 eV/f.u.

abc: 4.9433 4.9433 5.0463
angles: 90.00 90.00 90.00
Space group P4/mmm (No. 123)
One atom of each set of equivalent atoms:
La1 0.0000 0.0000 0.0000 [1 per cell]
Al1 0.5000 0.5000 0.5000 [1 per cell]
Cd1 0.5000 0.5000 0.0000 [1 per cell]
Au1 0.0000 0.5000 0.5000 [2 per cell]

=====

No. 10
DFT (PBE-GGA) results for a relaxed structure of Li2AlCd2Au5.

Values from the calculation:
The theoretical density is 11.6 g/cm³. The value obtained for the raw total energy is -57.6 eV for the cell shown. Its energy relative to the elements is -3.01 eV/f.u.

abc: 9.9144 9.9144 3.6439
angles: 90.00 90.00 90.00
Space group P4/mbm (No. 127)
One atom of each set of equivalent atoms:
Li1 0.1326 0.3674 0.0000 [4 per cell]
Al1 0.0000 0.0000 0.0000 [2 per cell]
Cd1 0.1580 0.6580 0.0000 [4 per cell]
Au1 0.0000 0.5000 0.5000 [2 per cell]
Au2 0.1132 0.1732 0.5000 [8 per cell]

=====

No. 11
DFT (PBE-GGA) results for a relaxed structure of LiAl2CdAu4.

Values from the calculation:
The theoretical density is 11.7 g/cm³. The value obtained for the raw total energy is -79.3 eV for the cell shown. Its energy relative to the elements is -3.02 eV/f.u.

abc: 4.5099 4.5099 23.1878
angles: 90.00 90.00 120.00
Space group R-3m (No. 166, hexagonal axes)
One atom of each set of equivalent atoms:
Li1 0.0000 0.0000 0.0000 [3 per cell]
Al1 0.0000 0.0000 0.2555 [6 per cell]
Cd1 0.0000 0.0000 0.5000 [3 per cell]
Au1 0.0000 0.0000 0.1135 [6 per cell]
Au2 0.0000 0.0000 0.3714 [6 per cell]

=====

No. 12
DFT (PBE-GGA) results for a relaxed structure of LiAlCd2Au6.

Values from the calculation:
The theoretical density is 12.2 g/cm³. The value obtained for the raw total energy is -29.5 eV for the cell shown. Its energy relative to the elements is -2.31 eV/f.u.

abc: 5.5530 5.6464 7.8249
angles: 109.94 90.72 119.15
Space group P-1 (No. 2)
One atom of each set of equivalent atoms:
Li1 0.0000 0.0000 0.0000 [1 per cell]
Al1 0.5000 0.0000 0.5000 [1 per cell]
Cd1 0.0720 0.5037 0.7831 [2 per cell]
Au1 0.0582 0.9315 0.6468 [2 per cell]
Au2 0.4123 0.9464 0.1586 [2 per cell]
Au3 0.4407 0.5025 0.3110 [2 per cell]